No. 1
DFT (PBE) results for a relaxed Mg6CuIr crystal.

abc: 6.0548 6.0548 5.9153
angles: 102.78 102.78 120.41
Element x y z (fractional)
Mg 0.0530 0.4461 0.7499
Mg 0.2502 0.2502 0.2477
Mg 0.4461 0.0530 0.7499
Mg 0.5539 0.9470 0.2501
Mg 0.7498 0.7498 0.7523
Mg 0.9470 0.5539 0.2501
Cu 0.5000 0.5000 0.0000
Ir 0.0000 0.0000 0.5000

Results
ΔH_f (0 K): 54 meV per atom
mass density: 3.98 g/cm3
electronic total energy: -2.762 eV per atom
total magnetization: 0.00 μB per formula unit

---

No. 2
DFT (PBE) results for a relaxed SrLiMgPd crystal.

abc: 4.6446 4.6446 6.0669
angles: 112.92 112.92 59.88
Element x y z (fractional)
Sr 0.0000 0.0000 0.0000
Li 0.1965 0.1965 0.5903
Mg 0.4834 0.4834 0.4520
Pd 0.8004 0.8004 0.4040

Results
ΔH_f (0 K): -380 meV per atom
mass density: 3.70 g/cm3
electronic total energy: -2.976 eV per atom
total magnetization: 0.00 μB per formula unit

---

No. 3
DFT (PBE) results for a relaxed CaLa2ThSb4 crystal.

abc: 7.9185 4.5939 7.9228
angles: 90.00 109.36 90.00
Element x y z (fractional)
Ca 0.0000 0.0000 0.0000
La 0.0000 0.5000 0.5000
La 0.5000 0.0000 0.5000
Th 0.5000 0.5000 0.0000
Sb 0.2524 0.5000 0.2452
Sb 0.2541 0.0000 0.7568
Sb 0.7459 0.0000 0.2432
Sb 0.7476 0.5000 0.7548

Results
mass density: 6.33 g/cm3
electronic total energy: -5.589 eV per atom
ΔE_f (raw): -1.118 eV per atom
total magnetization: 0.00 μB per formula unit

---

Number 1: calculated volume 167 Å³/cell. Number 2: calculated volume 101 Å³/cell. Number 3: calculated volume 272 Å³/cell.